(1)
Material: Pr8Er4Cd
Method: DFT, PBE
State: relaxed

POSCAR file:
```
Pr8Er4Cd
1.0
6.376 0.000 -3.440
-4.116 5.962 0.000
1.681 1.161 10.744
Pr Er Cd
8 4 1
direct
0.549 0.775 0.324
0.451 0.225 0.676
0.513 0.256 0.279
0.978 0.234 0.721
0.487 0.744 0.721
0.978 0.744 0.721
0.022 0.256 0.279
0.022 0.766 0.279
0.000 0.000 0.000
0.000 0.500 0.000
0.500 0.500 0.000
0.500 0.000 0.000
0.000 0.500 0.500
```

Properties
DFT formation energy ... 110 meV/atom
Magnetization ... 0.0 μB/cell

(2)
Material: Pr6Er3Cd
Method: DFT, PBE
State: relaxed

POSCAR file:
```
Pr6Er3Cd
1.0
-2.478 2.918 3.449
-8.691 0.888 -6.996
-4.356 -9.431 4.850
Pr Er Cd
12 6 2
direct
0.250 0.451 0.102
0.750 0.549 0.898
0.250 0.154 0.191
0.750 0.846 0.809
0.250 0.652 0.701
0.750 0.348 0.299
0.250 0.240 0.496
0.750 0.760 0.504
0.250 0.858 0.313
0.750 0.142 0.687
0.250 0.047 0.893
0.750 0.953 0.107
0.250 0.550 0.401
0.750 0.450 0.599
0.250 0.348 0.795
0.750 0.652 0.205
0.250 0.751 0.008
0.750 0.249 0.992
0.250 0.949 0.603
0.750 0.051 0.397
```

Properties
DFT formation energy ... -20 meV/atom
Magnetization ... 0.0 μB/cell

(3)
Material: PrErCd4
Method: DFT, PBE
State: relaxed

POSCAR file:
```
PrErCd4
1.0
-0.363 0.867 -5.884
-5.328 0.191 -2.661
-2.085 5.161 -2.128
Pr Cd Er
1 4 1
direct
0.250 0.250 0.250
0.625 0.625 0.125
0.625 0.125 0.625
0.625 0.625 0.625
0.125 0.625 0.625
0.000 0.000 0.000
```

Properties
Polymorph energy (0 for the lowest one) ... 55 meV per atom
DFT formation energy ... -264 meV/atom
Magnetization ... 0.0 μB/cell

Among the records above, which one has the highest DFT formation energy? Pr8Er4Cd